Compound: Li7Mn2Co3O12
Source: Alexandria
Functional: GGA+U
Structure: optimized geometry

Symmetry: No. 8
Crystal system: monoclinic
Excess energy over the best structure of this formula in the dataset in meV/atom: 65

Unit cell a=7.803 b=7.803 c=10.225 alpha=69.40 beta=69.40 gamma=21.47
Atoms (fractional coordinates):
Li: 0.830 0.830 0.419
Li: 0.162 0.162 0.107
Li: 0.503 0.503 0.739
Li: 0.828 0.828 0.910
Li: 0.166 0.166 0.559
Li: 0.504 0.504 0.268
Li: 0.660 0.660 0.339
Mn: 0.001 0.001 0.999
Mn: 0.328 0.328 0.175
Co: 0.340 0.340 0.662
Co: 0.002 0.002 0.499
Co: 0.675 0.675 0.819
O: 0.762 0.762 0.126
O: 0.081 0.081 0.810
O: 0.421 0.421 0.470
O: 0.749 0.749 0.629
O: 0.077 0.077 0.305
O: 0.425 0.425 0.970
O: 0.916 0.916 0.703
O: 0.260 0.260 0.358
O: 0.574 0.574 0.036
O: 0.912 0.912 0.194
O: 0.249 0.249 0.868
O: 0.574 0.574 0.537